1.
Material: CsMo6Se8
Method: DFT, PBE
State: optimized geometry

The structure in CIF format:
```
data_CsMo6Se8
_cell_length_a 9.8822
_cell_length_b 9.8822
_cell_length_c 12.6736
_cell_angle_alpha 90.00
_cell_angle_beta 90.00
_cell_angle_gamma 120.00
_symmetry_space_group_name_H-M 'R -3'
_symmetry_Int_Tables_number 148
_symmetry_space_group_name_Hall '-R 3'
loop_
_atom_site_label
_atom_site_fract_x
_atom_site_fract_y
_atom_site_fract_z
Cs1 0.0000 0.0000 0.0000
Mo1 0.0052 0.1598 0.4122
Se1 0.0000 0.0000 0.2561
Se2 0.0111 0.3112 0.5826
```

Properties
**ΔE_f (raw)**: -597 meV/atom

=====

2.
Material: AlHgGe
Method: DFT, PBE
State: optimized geometry

The structure in CIF format:
```
data_AlHgGe
_cell_length_a 3.9336
_cell_length_b 3.9336
_cell_length_c 10.5557
_cell_angle_alpha 90.00
_cell_angle_beta 90.00
_cell_angle_gamma 120.00
_symmetry_space_group_name_H-M 'P -3 m 1'
_symmetry_Int_Tables_number 164
_symmetry_space_group_name_Hall '-P 3 2"'
loop_
_atom_site_label
_atom_site_fract_x
_atom_site_fract_y
_atom_site_fract_z
Al1 0.3333 0.6667 0.2930
Hg1 0.0000 0.0000 0.1342
Ge1 0.3333 0.6667 0.5714
```

Properties
**Polymorph energy (0 for the lowest one)**: 0.0 meV/atom
**Energy of formation**: 0.16 eV/atom

=====

3.
Material: YCu2Te
Method: DFT, PBE
State: optimized geometry

The structure in CIF format:
```
data_YCu2Te
_cell_length_a 3.837
_cell_length_b 4.205
_cell_length_c 5.462
_cell_angle_alpha 90.00
_cell_angle_beta 90.00
_cell_angle_gamma 90.00
_symmetry_space_group_name_H-M 'P m m 2'
_symmetry_Int_Tables_number 25
loop_
_symmetry_equiv_pos_as_xyz
'x,y,z'
'-x,-y,z'
'-x,y,z'
'x,-y,z'
loop_
_atom_site_label
_atom_site_fract_x
_atom_site_fract_y
_atom_site_fract_z
Y1 0.000 0.000 0.000
Cu1 0.500 0.000 0.566
Cu2 0.500 0.500 0.777
Te1 0.500 0.500 0.263
```

Properties
**ΔE_f (raw)**: -310 meV/atom

=====

4.
Material: CsNi3Pb
Method: DFT, PBE
State: optimized geometry

The structure in CIF format:
```
data_CsNi3Pb
_cell_length_a 4.895
_cell_length_b 4.895
_cell_length_c 4.895
_cell_angle_alpha 90.00
_cell_angle_beta 90.00
_cell_angle_gamma 90.00
_symmetry_space_group_name_H-M 'P m -3 m'
_symmetry_Int_Tables_number 221
_symmetry_space_group_name_Hall '-P 4 2 3'
loop_
_atom_site_label
_atom_site_fract_x
_atom_site_fract_y
_atom_site_fract_z
Cs1 0.000 0.000 0.000
Ni1 0.000 0.000 0.500
Pb1 0.500 0.500 0.500
```

Properties
**Polymorph energy (0 for the lowest one)**: 808.9 meV/atom
**Energy of formation**: 1.75 eV/atom